Record 1
This record from Alexandria describes a relaxed structure of HoTmO3. The functional is PBEsol.

Structure (POSCAR):
```
HoTmO3
1.0
5.813 0.000 0.000
0.000 8.229 0.000
0.000 0.000 5.538
Ho Tm O
4 4 12
direct
0.056 0.250 0.022
0.444 0.750 0.522
0.556 0.250 0.478
0.944 0.750 0.978
0.000 0.000 0.500
0.000 0.500 0.500
0.500 0.000 0.000
0.500 0.500 0.000
0.079 0.750 0.349
0.190 0.581 0.813
0.190 0.919 0.813
0.310 0.081 0.313
0.310 0.419 0.313
0.421 0.250 0.849
0.579 0.750 0.151
0.690 0.581 0.687
0.690 0.919 0.687
0.810 0.081 0.187
0.810 0.419 0.187
0.921 0.250 0.651
```

**SG**: Pnma, No. 62
**Calculated volume**: 13.2 Å³/atom
**E_tot**: -8.725 eV/atom

---

Record 2
This record from Alexandria describes a relaxed structure of Ho2W3O12. The functional is PBEsol.

Structure (POSCAR):
```
Ho2W3O12
1.0
3.779 -5.575 0.000
3.779 5.575 0.000
-3.634 0.000 10.609
Ho W O
4 6 24
direct
0.043 0.290 0.092
0.290 0.043 0.592
0.710 0.957 0.408
0.957 0.710 0.908
0.134 0.866 0.250
0.244 0.462 0.447
0.462 0.244 0.947
0.538 0.756 0.053
0.756 0.538 0.553
0.866 0.134 0.750
0.077 0.659 0.104
0.083 0.179 0.458
0.097 0.467 0.296
0.131 0.210 0.721
0.179 0.083 0.958
0.210 0.131 0.221
0.226 0.667 0.561
0.333 0.774 0.939
0.341 0.923 0.396
0.398 0.472 0.077
0.467 0.097 0.796
0.472 0.398 0.577
0.528 0.602 0.423
0.533 0.903 0.204
0.602 0.528 0.923
0.659 0.077 0.604
0.667 0.226 0.061
0.774 0.333 0.439
0.790 0.869 0.779
0.821 0.917 0.042
0.869 0.790 0.279
0.903 0.533 0.704
0.917 0.821 0.542
0.923 0.341 0.896
```

**SG**: C2/c, No. 15
**Calculated volume**: 13.1 Å³/atom
**Excess energy over the best structure of this formula in the dataset**: 0 meV/atom

---

Record 3
This record from Alexandria describes a relaxed structure of Ho2W3O12. The functional is PBEsol.

Structure (POSCAR):
```
Ho2W3O12
1.0
10.013 0.000 0.000
0.000 10.111 0.000
-10.010 0.000 14.033
Ho W O
8 12 48
direct
0.132 0.031 0.383
0.132 0.469 0.883
0.367 0.031 0.117
0.367 0.469 0.617
0.633 0.531 0.383
0.633 0.969 0.883
0.868 0.531 0.117
0.868 0.969 0.617
0.025 0.750 0.000
0.025 0.750 0.500
0.247 0.114 0.857
0.247 0.386 0.357
0.467 0.614 0.857
0.467 0.886 0.357
0.533 0.114 0.643
0.533 0.386 0.143
0.753 0.614 0.643
0.753 0.886 0.143
0.975 0.250 0.000
0.975 0.250 0.500
0.004 0.664 0.083
0.004 0.836 0.583
0.065 0.635 0.937
0.065 0.865 0.437
0.081 0.020 0.762
0.081 0.480 0.262
0.162 0.164 0.083
0.162 0.336 0.583
0.191 0.635 0.563
0.191 0.865 0.063
0.198 0.214 0.340
0.198 0.286 0.840
0.285 0.064 0.967
0.285 0.436 0.467
0.295 0.586 0.861
0.295 0.914 0.361
0.350 0.064 0.532
0.350 0.436 0.032
0.427 0.086 0.861
0.427 0.414 0.361
0.444 0.521 0.762
0.444 0.979 0.262
0.482 0.713 0.340
0.482 0.787 0.840
0.518 0.213 0.160
0.518 0.287 0.660
0.556 0.021 0.738
0.556 0.479 0.238
0.573 0.586 0.639
0.573 0.914 0.139
0.650 0.564 0.968
0.650 0.936 0.468
0.705 0.086 0.639
0.705 0.414 0.139
0.715 0.564 0.533
0.715 0.936 0.033
0.802 0.714 0.160
0.802 0.786 0.660
0.809 0.135 0.937
0.809 0.365 0.437
0.838 0.664 0.417
0.838 0.836 0.917
0.919 0.520 0.738
0.919 0.980 0.238
0.935 0.135 0.563
0.935 0.365 0.063
0.996 0.164 0.417
0.996 0.336 0.917
```

**SG**: P2_1/c, No. 14
**Calculated volume**: 20.9 Å³/atom
**Excess energy over the best structure of this formula in the dataset**: 17 meV/atom